Entry 1:
Density functional theory data (GGA-PBE) for a relaxed Pm3NbTl3S8 crystal.

As for the formation energy (no corrections): -1.31 eV/atom. As for the total DFT energy (no corrections): -84.1 eV/cell. As for the symmetry: No. 166. Its crystal system is trigonal. The calculation puts the mass density at 5.50 Mg/m³. The density of states at the Fermi level comes out at 4.606 states/eV/f.u.

Lattice parameters (Å, degrees): 8.896 8.896 8.896 53.46 53.46 53.46
Positions (direct):
Pm: 0.000 0.500 0.500
Pm: 0.500 0.000 0.500
Pm: 0.500 0.500 0.000
Nb: 0.000 0.000 0.000
Tl: 0.000 0.000 0.500
Tl: 0.000 0.500 0.000
Tl: 0.500 0.000 0.000
S: 0.215 0.215 0.762
S: 0.215 0.762 0.215
S: 0.238 0.785 0.785
S: 0.265 0.265 0.265
S: 0.735 0.735 0.735
S: 0.762 0.215 0.215
S: 0.785 0.238 0.785
S: 0.785 0.785 0.238

---

Entry 2:
Density functional theory data (GGA-PBE) for a relaxed PmNbSb2 crystal.

The energy above the most stable polymorph in this dataset comes out at 660 meV per atom. As for the formation energy (no corrections): 0.21 eV/atom. As for the total DFT energy (no corrections): -22.2 eV/cell. As for the symmetry: No. 166. Its crystal system is trigonal. The calculation puts the mass density at 7.76 Mg/m³. The density of states at the Fermi level comes out at 4.880 states/eV/f.u.

Lattice parameters (Å, degrees): 11.280 11.280 11.280 16.67 16.67 16.67
Positions (direct):
Pm: 0.000 0.000 0.000
Nb: 0.500 0.500 0.500
Sb: 0.415 0.415 0.415
Sb: 0.585 0.585 0.585

---

Entry 3:
Density functional theory data (GGA-PBE) for a relaxed PmNbSb2 crystal.

The energy above the most stable polymorph in this dataset comes out at 0 meV per atom. As for the formation energy (no corrections): -0.45 eV/atom. As for the total DFT energy (no corrections): -24.9 eV/cell. As for the symmetry: No. 123. Its crystal system is tetragonal. The calculation puts the mass density at 8.40 Mg/m³. The density of states at the Fermi level comes out at 3.437 states/eV/f.u.

Lattice parameters (Å, degrees): 3.516 3.516 7.699 90.00 90.00 90.00
Positions (direct):
Pm: 0.000 0.000 0.000
Nb: 0.000 0.000 0.500
Sb: 0.500 0.500 0.288
Sb: 0.500 0.500 0.712

---

Entry 4:
Density functional theory data (GGA-PBE) for a relaxed PmNbSb2 crystal.

The energy above the most stable polymorph in this dataset comes out at 112 meV per atom. As for the formation energy (no corrections): -0.34 eV/atom. As for the total DFT energy (no corrections): -24.4 eV/cell. As for the symmetry: No. 225. Its crystal system is cubic. The calculation puts the mass density at 8.39 Mg/m³. The density of states at the Fermi level comes out at 5.323 states/eV/f.u.

Lattice parameters (Å, degrees): 5.127 5.127 5.127 60.00 60.00 60.00
Positions (direct):
Pm: 0.000 0.000 0.000
Nb: 0.500 0.500 0.500
Sb: 0.250 0.250 0.250
Sb: 0.750 0.750 0.750